Entry 1:
The following is a PBE calculation of an optimized crystal structure of SrLiLa2, from Alexandria.

Formation energy from the elements, eV/atom: 0.204
Offset from the most stable computed form, kcal/mol of atoms: 2.99
Symmetry: P4/mmm, No. 123

Cell and atoms, written as CIF:
```
data_SrLiLa2
_space_group_name_H-M_alt 'P 1'
_space_group_IT_number 1
_cell_length_a 6.053
_cell_length_b 4.977
_cell_length_c 4.977
_cell_angle_alpha 90.00
_cell_angle_beta 90.00
_cell_angle_gamma 90.00
loop_
_space_group_symop_operation_xyz
'x,y,z'
loop_
_atom_site_label
_atom_site_type_symbol
_atom_site_fract_x
_atom_site_fract_y
_atom_site_fract_z
La1 La 0.000 0.000 0.000
La2 La 0.000 0.500 0.500
Li1 Li 0.500 0.500 0.000
Sr1 Sr 0.500 0.000 0.500
```


Entry 2:
The following is a PBE calculation of an optimized crystal structure of KGaSn, from Alexandria.

Formation energy from the elements, eV/atom: -0.178
Symmetry: Pm, No. 6

Cell and atoms, written as CIF:
```
data_KGaSn
_space_group_name_H-M_alt 'P 1'
_space_group_IT_number 1
_cell_length_a 4.684
_cell_length_b 4.650
_cell_length_c 8.650
_cell_angle_alpha 90.00
_cell_angle_beta 89.87
_cell_angle_gamma 90.00
loop_
_space_group_symop_operation_xyz
'x,y,z'
loop_
_atom_site_label
_atom_site_type_symbol
_atom_site_fract_x
_atom_site_fract_y
_atom_site_fract_z
K1 K 0.651 0.500 0.171
K2 K 0.148 0.000 0.483
Sn1 Sn 0.146 0.500 0.813
Sn2 Sn 0.152 0.000 0.031
Ga1 Ga 0.648 0.500 0.612
Ga2 Ga 0.649 0.000 0.814
```


Entry 3:
The following is a PBE calculation of an optimized crystal structure of Cs2Tl3Hg4Pb, from Alexandria.

Formation energy from the elements, eV/atom: -0.131
Symmetry: P-4m2, No. 115

Cell and atoms, written as CIF:
```
data_Cs2Tl3Hg4Pb
_space_group_name_H-M_alt 'P 1'
_space_group_IT_number 1
_cell_length_a 5.588
_cell_length_b 5.588
_cell_length_c 11.937
_cell_angle_alpha 90.00
_cell_angle_beta 90.00
_cell_angle_gamma 90.00
loop_
_space_group_symop_operation_xyz
'x,y,z'
loop_
_atom_site_label
_atom_site_type_symbol
_atom_site_fract_x
_atom_site_fract_y
_atom_site_fract_z
Cs1 Cs 0.500 0.000 0.244
Cs2 Cs 0.000 0.500 0.756
Tl1 Tl 0.000 0.000 0.500
Tl2 Tl 0.500 0.000 0.887
Tl3 Tl 0.000 0.500 0.113
Hg1 Hg 0.500 0.500 0.000
Hg2 Hg 0.000 0.000 0.000
Hg3 Hg 0.500 0.000 0.625
Hg4 Hg 0.000 0.500 0.375
Pb1 Pb 0.500 0.500 0.500
```


Entry 4:
The following is a PBE calculation of an optimized crystal structure of PrNdHg3, from Alexandria.

Formation energy from the elements, eV/atom: -0.425
Offset from the most stable computed form, kcal/mol of atoms: 0.00
Symmetry: Cmcm, No. 63

Cell and atoms, written as CIF:
```
data_PrNdHg3
_space_group_name_H-M_alt 'P 1'
_space_group_IT_number 1
_cell_length_a 3.605
_cell_length_b 5.058
_cell_length_c 15.090
_cell_angle_alpha 90.00
_cell_angle_beta 96.86
_cell_angle_gamma 90.00
loop_
_space_group_symop_operation_xyz
'x,y,z'
loop_
_atom_site_label
_atom_site_type_symbol
_atom_site_fract_x
_atom_site_fract_y
_atom_site_fract_z
Pr1 Pr 0.925 0.750 0.851
Pr2 Pr 0.075 0.250 0.149
Nd1 Nd 0.210 0.750 0.419
Nd2 Nd 0.790 0.250 0.581
Hg1 Hg 0.620 0.750 0.240
Hg2 Hg 0.380 0.250 0.760
Hg3 Hg 0.523 0.750 0.047
Hg4 Hg 0.477 0.250 0.953
Hg5 Hg 0.678 0.250 0.356
Hg6 Hg 0.322 0.750 0.644
```


Entry 5:
The following is a PBE calculation of an optimized crystal structure of NiAg3Pd, from Alexandria.

Formation energy from the elements, eV/atom: 0.871
Offset from the most stable computed form, kcal/mol of atoms: 0.00
Symmetry: Pm-3m, No. 221

Cell and atoms, written as CIF:
```
data_NiAg3Pd
_space_group_name_H-M_alt 'P 1'
_space_group_IT_number 1
_cell_length_a 4.708
_cell_length_b 4.708
_cell_length_c 4.708
_cell_angle_alpha 90.00
_cell_angle_beta 90.00
_cell_angle_gamma 90.00
loop_
_space_group_symop_operation_xyz
'x,y,z'
loop_
_atom_site_label
_atom_site_type_symbol
_atom_site_fract_x
_atom_site_fract_y
_atom_site_fract_z
Ni1 Ni 0.000 0.000 0.000
Pd1 Pd 0.500 0.500 0.500
Ag1 Ag 0.000 0.500 0.000
Ag2 Ag 0.000 0.000 0.500
Ag3 Ag 0.500 0.000 0.000
```


Entry 6:
The following is a PBE calculation of an optimized crystal structure of SbTeIr, from Alexandria.

ΔE_f (raw), meV per atom: -95
Symmetry: F-43m, No. 216

Cell and atoms, written as CIF:
```
data_SbTeIr
_space_group_name_H-M_alt 'P 1'
_space_group_IT_number 1
_cell_length_a 4.640
_cell_length_b 4.640
_cell_length_c 4.640
_cell_angle_alpha 60.00
_cell_angle_beta 60.00
_cell_angle_gamma 60.00
loop_
_space_group_symop_operation_xyz
'x,y,z'
loop_
_atom_site_label
_atom_site_type_symbol
_atom_site_fract_x
_atom_site_fract_y
_atom_site_fract_z
Ir1 Ir 0.750 0.750 0.750
Sb1 Sb 0.000 0.000 0.000
Te1 Te 0.500 0.500 0.500
```